Below is BaSiI2 after structural relaxation, with properties calculated at the PBEsol level.

## Properties
E = -3.20 eV/atom
E_form (uncorrected) = -340 meV per atom

a = 10.972 Å, b = 10.972 Å, c = 10.972 Å
α = 150.61°, β = 150.61°, γ = 42.05°
Fractional positions:
Ba 0.000 0.000 0.000
Ba 0.750 0.250 0.500
Si 0.250 0.750 0.500
Si 0.500 0.500 0.000
I 0.169 0.625 0.044
I 0.375 0.419 0.544
I 0.581 0.125 0.956
I 0.875 0.831 0.456